(1)
First-principles (PBE) data for a geometry-optimized TlInSn2 structure, as listed in the Alexandria database.

## Properties
* magnetic moment: 0.00 μB/cell
* DOS(E_F): 1.46 states/eV per cell
* energy of formation from the pure elements: 0.037 eV per atom

Cell: 4.793 4.793 4.934 Å, 90.00 90.00 90.00°
Space group P4/mmm (No. 123)
Unique sites:
1 Tl 0.000 0.000 0.000 [1 per cell]
2 In 0.500 0.500 0.000 [1 per cell]
3 Sn 0.000 0.500 0.500 [2 per cell]

=====

(2)
First-principles (PBE) data for a geometry-optimized Tl3InSn structure, as listed in the Alexandria database.

## Properties
* magnetic moment: 0.00 μB/cell
* DOS(E_F): 3.31 states/eV per cell
* energy of formation from the pure elements: 0.379 eV per atom

Cell: 5.872 5.872 5.872 Å, 90.00 90.00 90.00°
Space group Pm-3m (No. 221)
Unique sites:
1 Tl 0.000 0.000 0.500 [3 per cell]
2 In 0.500 0.500 0.500 [1 per cell]
3 Sn 0.000 0.000 0.000 [1 per cell]

=====

(3)
First-principles (PBE) data for a geometry-optimized TlIn6Sn4 structure, as listed in the Alexandria database.

## Properties
* magnetic moment: 0.00 μB/cell
* DOS(E_F): 6.12 states/eV per cell
* energy of formation from the pure elements: 0.066 eV per atom

Cell: 9.3531 9.3531 4.2762 Å, 90.00 90.00 120.00°
Space group P-6m2 (No. 187)
Unique sites:
1 Tl 0.0000 0.0000 0.0000 [1 per cell]
2 In 0.1917 0.3834 0.5000 [3 per cell]
3 In 0.5361 0.0721 0.0000 [3 per cell]
4 Sn 0.3333 0.6667 0.0000 [1 per cell]
5 Sn 0.3660 0.1830 0.5000 [3 per cell]

=====

(4)
First-principles (PBE) data for a geometry-optimized TlInSn6 structure, as listed in the Alexandria database.

## Properties
* magnetic moment: 0.00 μB/cell
* DOS(E_F): 6.38 states/eV per cell
* energy of formation from the pure elements: 0.069 eV per atom

Cell: 8.955 11.255 6.323 Å, 90.00 134.80 90.00°
Space group C2/m (No. 12)
Unique sites:
1 Tl 0.000 0.000 0.000 [2 per cell]
2 In 0.000 0.000 0.500 [2 per cell]
3 Sn 0.000 0.500 0.250 [4 per cell]
4 Sn 0.249 0.244 0.749 [8 per cell]

=====

(5)
First-principles (PBE) data for a geometry-optimized Tl2In3Sn4 structure, as listed in the Alexandria database.

## Properties
* magnetic moment: 0.00 μB/cell
* DOS(E_F): 12.81 states/eV per cell
* energy of formation from the pure elements: 0.054 eV per atom

Cell: 6.490 18.627 8.975 Å, 90.00 90.00 90.00°
Space group Cmce (No. 64)
Unique sites:
1 Tl 0.000 0.090 0.105 [8 per cell]
2 In 0.000 0.000 0.500 [4 per cell]
3 In 0.250 0.245 0.750 [8 per cell]
4 Sn 0.000 0.171 0.493 [8 per cell]
5 Sn 0.250 0.074 0.750 [8 per cell]

=====

(6)
First-principles (PBE) data for a geometry-optimized Tl3In2Sn5 structure, as listed in the Alexandria database.

## Properties
* magnetic moment: 0.00 μB/cell
* DOS(E_F): 14.51 states/eV per cell
* energy of formation from the pure elements: 0.082 eV per atom

Cell: 11.497 14.801 7.565 Å, 90.00 90.00 90.00°
Space group Ibam (No. 72)
Unique sites:
1 Tl 0.000 0.000 0.250 [4 per cell]
2 Tl 0.239 0.373 0.000 [8 per cell]
3 In 0.141 0.124 0.000 [8 per cell]
4 Sn 0.000 0.236 0.250 [8 per cell]
5 Sn 0.000 0.500 0.250 [4 per cell]
6 Sn 0.112 0.367 0.500 [8 per cell]

=====

(7)
First-principles (PBE) data for a geometry-optimized Tl5In7Sn structure, as listed in the Alexandria database.

## Properties
* magnetic moment: 0.00 μB/cell
* DOS(E_F): 12.45 states/eV per cell
* energy of formation from the pure elements: 0.060 eV per atom

Cell: 14.197 10.598 5.440 Å, 90.00 110.12 90.00°
Space group Cm (No. 8)
Unique sites:
1 Tl 0.000 0.000 0.000 [2 per cell]
2 Tl 0.018 0.206 0.496 [4 per cell]
3 Tl 0.409 0.183 0.887 [4 per cell]
4 In 0.099 0.500 0.199 [2 per cell]
5 In 0.212 0.189 0.263 [4 per cell]
6 In 0.219 0.357 0.789 [4 per cell]
7 In 0.334 0.500 0.376 [2 per cell]
8 In 0.402 0.000 0.390 [2 per cell]
9 Sn 0.209 0.000 0.773 [2 per cell]

=====

(8)
First-principles (PBE) data for a geometry-optimized TlIn4Sn5 structure, as listed in the Alexandria database.

## Properties
* magnetic moment: 0.00 μB/cell
* DOS(E_F): 3.43 states/eV per cell
* energy of formation from the pure elements: 0.051 eV per atom

Cell: 3.956 3.956 17.675 Å, 90.00 90.00 90.00°
Space group P4/mmm (No. 123)
Unique sites:
1 Tl 0.000 0.000 0.000 [1 per cell]
2 In 0.000 0.000 0.205 [2 per cell]
3 In 0.000 0.000 0.401 [2 per cell]
4 Sn 0.500 0.500 0.114 [2 per cell]
5 Sn 0.500 0.500 0.301 [2 per cell]
6 Sn 0.500 0.500 0.500 [1 per cell]

=====

(9)
First-principles (PBE) data for a geometry-optimized Tl8InSn2 structure, as listed in the Alexandria database.

## Properties
* magnetic moment: 0.00 μB/cell
* DOS(E_F): 8.95 states/eV per cell
* energy of formation from the pure elements: 0.095 eV per atom

Cell: 14.668 8.243 6.339 Å, 90.00 108.15 90.00°
Space group C2/m (No. 12)
Unique sites:
1 Tl 0.066 0.199 0.271 [8 per cell]
2 Tl 0.156 0.000 0.832 [4 per cell]
3 Tl 0.223 0.500 0.577 [4 per cell]
4 In 0.000 0.500 0.500 [2 per cell]
5 Sn 0.107 0.500 0.992 [4 per cell]

=====

(10)
First-principles (PBE) data for a geometry-optimized Tl8InSn2 structure, as listed in the Alexandria database.

## Properties
* magnetic moment: 0.00 μB/cell
* DOS(E_F): 11.26 states/eV per cell
* energy of formation from the pure elements: 0.024 eV per atom

Cell: 17.740 5.194 7.293 Å, 90.00 102.02 90.00°
Space group C2/m (No. 12)
Unique sites:
1 Tl 0.051 0.000 0.225 [4 per cell]
2 Tl 0.091 0.500 0.950 [4 per cell]
3 Tl 0.133 0.000 0.684 [4 per cell]
4 Tl 0.184 0.500 0.414 [4 per cell]
5 In 0.000 0.500 0.500 [2 per cell]
6 Sn 0.229 0.000 0.122 [4 per cell]

=====

(11)
First-principles (PBE) data for a geometry-optimized Tl16In12Sn structure, as listed in the Alexandria database.

## Properties
* magnetic moment: 0.00 μB/cell
* DOS(E_F): 24.83 states/eV per cell
* energy of formation from the pure elements: 0.013 eV per atom

Cell: 11.892 17.048 10.335 Å, 90.00 124.92 90.00°
Space group Cm (No. 8)
Unique sites:
1 Tl 0.000 0.000 0.000 [2 per cell]
2 Tl 0.001 0.000 0.357 [2 per cell]
3 Tl 0.018 0.303 0.675 [4 per cell]
4 Tl 0.040 0.361 0.358 [4 per cell]
5 Tl 0.198 0.198 0.036 [4 per cell]
6 Tl 0.318 0.000 0.070 [2 per cell]
7 Tl 0.320 0.319 0.357 [4 per cell]
8 Tl 0.338 0.341 0.753 [4 per cell]
9 Tl 0.360 0.000 0.716 [2 per cell]
10 Tl 0.442 0.160 0.958 [4 per cell]
11 In 0.088 0.093 0.721 [4 per cell]
12 In 0.132 0.500 0.174 [2 per cell]
13 In 0.183 0.185 0.544 [4 per cell]
14 In 0.227 0.406 0.989 [4 per cell]
15 In 0.281 0.089 0.361 [4 per cell]
16 In 0.303 0.500 0.535 [2 per cell]
17 In 0.499 0.315 0.170 [4 per cell]
18 Sn 0.111 0.500 0.657 [2 per cell]

=====

(12)
First-principles (PBE) data for a geometry-optimized Tl7In5Sn structure, as listed in the Alexandria database.

## Properties
* magnetic moment: 0.00 μB/cell
* DOS(E_F): 10.68 states/eV per cell
* energy of formation from the pure elements: 0.048 eV per atom

Cell: 14.436 10.708 5.392 Å, 90.00 110.62 90.00°
Space group Cm (No. 8)
Unique sites:
1 Tl 0.000 0.000 0.000 [2 per cell]
2 Tl 0.094 0.500 0.107 [2 per cell]
3 Tl 0.255 0.500 0.765 [2 per cell]
4 Tl 0.373 0.173 0.879 [4 per cell]
5 Tl 0.378 0.352 0.384 [4 per cell]
6 In 0.082 0.290 0.591 [4 per cell]
7 In 0.162 0.000 0.660 [2 per cell]
8 In 0.189 0.184 0.192 [4 per cell]
9 Sn 0.391 0.000 0.397 [2 per cell]

=====

(13)
First-principles (PBE) data for a geometry-optimized Tl6InSn3 structure, as listed in the Alexandria database.

## Properties
* magnetic moment: 0.00 μB/cell
* DOS(E_F): 7.61 states/eV per cell
* energy of formation from the pure elements: 0.024 eV per atom

Cell: 3.360 12.751 14.072 Å, 96.00 95.29 92.05°
Space group P-1 (No. 2)
Unique sites:
1 Tl 0.011 0.335 0.098 [2 per cell]
2 Tl 0.109 0.718 0.290 [2 per cell]
3 Tl 0.305 0.125 0.511 [2 per cell]
4 Tl 0.339 0.789 0.702 [2 per cell]
5 Tl 0.460 0.472 0.312 [2 per cell]
6 Tl 0.467 0.164 0.903 [2 per cell]
7 In 0.115 0.973 0.298 [2 per cell]
8 Sn 0.008 0.625 0.497 [2 per cell]
9 Sn 0.079 0.073 0.099 [2 per cell]
10 Sn 0.450 0.425 0.901 [2 per cell]

=====

(14)
First-principles (PBE) data for a geometry-optimized TlIn3Sn3 structure, as listed in the Alexandria database.

## Properties
* magnetic moment: 0.00 μB/cell
* DOS(E_F): 5.19 states/eV per cell
* energy of formation from the pure elements: 0.048 eV per atom

Cell: 5.782 5.784 14.087 Å, 87.38 82.57 60.28°
Space group P-1 (No. 2)
Unique sites:
1 Tl 0.164 0.172 0.499 [2 per cell]
2 In 0.037 0.359 0.898 [2 per cell]
3 In 0.306 0.972 0.104 [2 per cell]
4 In 0.357 0.699 0.903 [2 per cell]
5 Sn 0.110 0.847 0.699 [2 per cell]
6 Sn 0.236 0.480 0.298 [2 per cell]
7 Sn 0.437 0.193 0.697 [2 per cell]

=====

(15)
First-principles (PBE) data for a geometry-optimized TlIn2Sn structure, as listed in the Alexandria database.

## Properties
* magnetic moment: 0.00 μB/cell
* DOS(E_F): 3.92 states/eV per cell
* energy of formation from the pure elements: 0.079 eV per atom

Cell: 4.4919 4.4919 21.7001 Å, 90.00 90.00 120.00°
Space group R3m (No. 160, hexagonal axes)
Unique sites:
1 Tl 0.0000 0.0000 0.0000 [3 per cell]
2 In 0.0000 0.0000 0.4256 [3 per cell]
3 In 0.0000 0.0000 0.5753 [3 per cell]
4 Sn 0.0000 0.0000 0.1670 [3 per cell]

=====

(16)
First-principles (PBE) data for a geometry-optimized TlIn6Sn structure, as listed in the Alexandria database.

## Properties
* magnetic moment: 0.00 μB/cell
* DOS(E_F): 2.54 states/eV per cell
* energy of formation from the pure elements: 0.020 eV per atom

Cell: 5.135 5.135 8.442 Å, 90.00 90.00 90.00°
Space group P4/mmm (No. 123)
Unique sites:
1 Tl 0.000 0.000 0.000 [1 per cell]
2 In 0.000 0.500 0.258 [4 per cell]
3 In 0.500 0.500 0.000 [1 per cell]
4 In 0.500 0.500 0.500 [1 per cell]
5 Sn 0.000 0.000 0.500 [1 per cell]

=====

(17)
First-principles (PBE) data for a geometry-optimized Tl4In5Sn6 structure, as listed in the Alexandria database.

## Properties
* magnetic moment: 0.00 μB/cell
* DOS(E_F): 27.26 states/eV per cell
* energy of formation from the pure elements: 0.071 eV per atom

Cell: 4.694 22.077 17.751 Å, 90.00 90.00 90.00°
Space group Cmc2_1 (No. 36)
Unique sites:
1 Tl 0.000 0.002 0.000 [4 per cell]
2 Tl 0.000 0.040 0.276 [4 per cell]
3 Tl 0.000 0.151 0.805 [4 per cell]
4 Tl 0.000 0.172 0.449 [4 per cell]
5 In 0.000 0.156 0.133 [4 per cell]
6 In 0.000 0.298 0.127 [4 per cell]
7 In 0.000 0.344 0.766 [4 per cell]
8 In 0.000 0.355 0.475 [4 per cell]
9 In 0.000 0.447 0.187 [4 per cell]
10 Sn 0.000 0.116 0.615 [4 per cell]
11 Sn 0.000 0.229 0.978 [4 per cell]
12 Sn 0.000 0.242 0.283 [4 per cell]
13 Sn 0.000 0.424 0.907 [4 per cell]
14 Sn 0.000 0.430 0.619 [4 per cell]
15 Sn 0.000 0.449 0.356 [4 per cell]

=====

(18)
First-principles (PBE) data for a geometry-optimized Tl6In3Sn structure, as listed in the Alexandria database.

## Properties
* magnetic moment: 0.00 μB/cell
* DOS(E_F): 7.84 states/eV per cell
* energy of formation from the pure elements: 0.022 eV per atom

Cell: 9.359 5.671 11.723 Å, 90.00 107.94 90.00°
Space group P2_1/m (No. 11)
Unique sites:
1 Tl 0.001 0.250 0.156 [2 per cell]
2 Tl 0.007 0.750 0.342 [2 per cell]
3 Tl 0.205 0.250 0.960 [2 per cell]
4 Tl 0.205 0.750 0.646 [2 per cell]
5 Tl 0.400 0.750 0.440 [2 per cell]
6 Tl 0.406 0.250 0.759 [2 per cell]
7 In 0.197 0.250 0.460 [2 per cell]
8 In 0.211 0.750 0.138 [2 per cell]
9 In 0.390 0.250 0.261 [2 per cell]
10 Sn 0.413 0.750 0.943 [2 per cell]

=====

(19)
First-principles (PBE) data for a geometry-optimized Tl3In7Sn2 structure, as listed in the Alexandria database.

## Properties
* magnetic moment: 0.00 μB/cell
* DOS(E_F): 5.82 states/eV per cell
* energy of formation from the pure elements: 0.073 eV per atom

Cell: 5.228 4.487 15.774 Å, 90.00 99.44 90.00°
Space group P2/m (No. 10)
Unique sites:
1 Tl 0.000 0.000 0.000 [1 per cell]
2 Tl 0.331 0.500 0.651 [2 per cell]
3 In 0.079 0.500 0.148 [2 per cell]
4 In 0.231 0.000 0.463 [2 per cell]
5 In 0.420 0.000 0.842 [2 per cell]
6 In 0.500 0.500 0.000 [1 per cell]
7 Sn 0.135 0.000 0.276 [2 per cell]